Record 1
Material: YErTl2
Method: DFT, GGA-PBEsol
State: relaxed

a b c (Å): 5.2505 5.2505 5.2505
angles (deg): 60.00 60.00 60.00
Last column: nearest neighbours and their distance in Å.
Positions (direct):
Y (0.0000, 0.0000, 0.0000)  8 Tl 3.22
Er (0.5000, 0.5000, 0.5000)  8 Tl 3.22
Tl (0.2500, 0.2500, 0.2500)  4 Er 3.22, 4 Y 3.22
Tl (0.7500, 0.7500, 0.7500)  4 Er 3.22, 4 Y 3.22

Formation energy ... -0.424 eV/atom



Record 2
Material: ErTlZn
Method: DFT, GGA-PBEsol
State: relaxed

a b c (Å): 4.5968 4.5968 7.0541
angles (deg): 90.00 90.00 120.00
Last column: nearest neighbours and their distance in Å.
Positions (direct):
Er (0.0000, 0.0000, 0.0000)  6 Tl 3.19, 6 Zn 3.19, 2 Er 3.53
Er (0.0000, 0.0000, 0.5000)  6 Tl 3.19, 6 Zn 3.19, 2 Er 3.53
Tl (0.3333, 0.6667, 0.2500)  3 Zn 2.65
Tl (0.6667, 0.3333, 0.7500)  3 Zn 2.65
Zn (0.3333, 0.6667, 0.7500)  3 Tl 2.65
Zn (0.6667, 0.3333, 0.2500)  3 Tl 2.65

Formation energy ... -0.337 eV/atom



Record 3
Material: ErTm3
Method: DFT, GGA-PBEsol
State: relaxed

a b c (Å): 6.9933 6.9933 5.4271
angles (deg): 90.00 90.00 120.00
Last column: nearest neighbours and their distance in Å.
Positions (direct):
Er (0.3333, 0.6667, 0.2500)  12 Tm 3.38-3.50
Er (0.6667, 0.3333, 0.7500)  12 Tm 3.38-3.50
Tm (0.1666, 0.3332, 0.7500)  8 Tm 3.38-3.50, 4 Er 3.38-3.50
Tm (0.1666, 0.8334, 0.7500)  8 Tm 3.38-3.50, 4 Er 3.38-3.50
Tm (0.3332, 0.1666, 0.2500)  8 Tm 3.38-3.50, 4 Er 3.38-3.50
Tm (0.6668, 0.8334, 0.7500)  8 Tm 3.38-3.50, 4 Er 3.38-3.50
Tm (0.8334, 0.1666, 0.2500)  8 Tm 3.38-3.50, 4 Er 3.38-3.50
Tm (0.8334, 0.6668, 0.2500)  8 Tm 3.38-3.50, 4 Er 3.38-3.50

Formation energy ... 0.002 eV/atom



Record 4
Material: Er3Tm
Method: DFT, GGA-PBEsol
State: relaxed

a b c (Å): 7.0037 7.0037 5.4418
angles (deg): 90.00 90.00 120.00
Last column: nearest neighbours and their distance in Å.
Positions (direct):
Er (0.1668, 0.3336, 0.2500)  4 Tm 3.39-3.50, 8 Er 3.39-3.50
Er (0.1668, 0.8332, 0.2500)  4 Tm 3.39-3.50, 8 Er 3.39-3.50
Er (0.3336, 0.1668, 0.7500)  4 Tm 3.39-3.50, 8 Er 3.39-3.50
Er (0.6664, 0.8332, 0.2500)  4 Tm 3.39-3.50, 8 Er 3.39-3.50
Er (0.8332, 0.1668, 0.7500)  4 Tm 3.39-3.50, 8 Er 3.39-3.50
Er (0.8332, 0.6664, 0.7500)  4 Tm 3.39-3.50, 8 Er 3.39-3.50
Tm (0.3333, 0.6667, 0.7500)  12 Er 3.39-3.50
Tm (0.6667, 0.3333, 0.2500)  12 Er 3.39-3.50

Formation energy ... 0.004 eV/atom



Record 5
Material: Y3Er
Method: DFT, GGA-PBEsol
State: relaxed

a b c (Å): 7.1321 7.1321 5.5441
angles (deg): 90.00 90.00 120.00
Last column: nearest neighbours and their distance in Å.
Positions (direct):
Y (0.1674, 0.3348, 0.2500)  4 Er 3.45-3.57, 8 Y 3.46-3.58
Y (0.1674, 0.8326, 0.2500)  4 Er 3.45-3.57, 8 Y 3.46-3.58
Y (0.3348, 0.1674, 0.7500)  4 Er 3.45-3.57, 8 Y 3.46-3.58
Y (0.6652, 0.8326, 0.2500)  4 Er 3.45-3.57, 8 Y 3.46-3.58
Y (0.8326, 0.1674, 0.7500)  4 Er 3.45-3.57, 8 Y 3.46-3.58
Y (0.8326, 0.6652, 0.7500)  4 Er 3.45-3.57, 8 Y 3.46-3.58
Er (0.3333, 0.6667, 0.7500)  12 Y 3.45-3.57
Er (0.6667, 0.3333, 0.2500)  12 Y 3.45-3.57

Formation energy ... 0.006 eV/atom



Record 6
Material: YErZn2
Method: DFT, GGA-PBEsol
State: relaxed

a b c (Å): 4.9441 4.9441 4.9441
angles (deg): 60.00 60.00 60.00
Last column: nearest neighbours and their distance in Å.
Positions (direct):
Y (0.0000, 0.0000, 0.0000)  8 Zn 3.03
Er (0.5000, 0.5000, 0.5000)  8 Zn 3.03
Zn (0.2500, 0.2500, 0.2500)  4 Er 3.03, 4 Y 3.03
Zn (0.7500, 0.7500, 0.7500)  4 Er 3.03, 4 Y 3.03

Formation energy ... -0.353 eV/atom



Record 7
Material: ErZn3
Method: DFT, GGA-PBEsol
State: relaxed

a b c (Å): 6.5401 4.2692 9.8192
angles (deg): 90.00 90.00 90.00
Last column: nearest neighbours and their distance in Å.
Positions (direct):
Er (0.2221, 0.2500, 0.1625)  12 Zn 2.91-3.18
Er (0.2779, 0.7500, 0.6625)  12 Zn 2.91-3.18
Er (0.7221, 0.2500, 0.3375)  12 Zn 2.91-3.18
Er (0.7779, 0.7500, 0.8375)  12 Zn 2.91-3.18
Zn (0.0374, 0.7500, 0.3963)  5 Zn 2.54-2.73
Zn (0.0797, 0.2500, 0.8530)  5 Zn 2.53-2.70
Zn (0.2178, 0.7500, 0.9567)  6 Zn 2.53-2.73
Zn (0.2822, 0.2500, 0.4567)  6 Zn 2.53-2.73
Zn (0.4203, 0.7500, 0.3530)  5 Zn 2.53-2.70
Zn (0.4626, 0.2500, 0.8963)  5 Zn 2.54-2.73
Zn (0.5374, 0.7500, 0.1037)  5 Zn 2.54-2.73
Zn (0.5797, 0.2500, 0.6470)  5 Zn 2.53-2.70
Zn (0.7178, 0.7500, 0.5433)  6 Zn 2.53-2.73
Zn (0.7822, 0.2500, 0.0433)  6 Zn 2.53-2.73
Zn (0.9203, 0.7500, 0.1470)  5 Zn 2.53-2.70
Zn (0.9626, 0.2500, 0.6037)  5 Zn 2.54-2.73

Formation energy ... -0.372 eV/atom



Record 8
Material: ErZn5
Method: DFT, GGA-PBEsol
State: relaxed

a b c (Å): 5.1720 5.1720 4.1418
angles (deg): 90.00 90.00 120.00
Last column: nearest neighbours and their distance in Å.
Positions (direct):
Er (0.0000, 0.0000, 0.0000)  18 Zn 2.99-3.31
Zn (0.0000, 0.5000, 0.5000)  8 Zn 2.55-2.59
Zn (0.3333, 0.6667, 0.0000)  6 Zn 2.55
Zn (0.5000, 0.0000, 0.5000)  8 Zn 2.55-2.59
Zn (0.5000, 0.5000, 0.5000)  8 Zn 2.55-2.59
Zn (0.6667, 0.3333, 0.0000)  6 Zn 2.55

Formation energy ... -0.294 eV/atom



Which of these has the highest formation energy? Y3Er